## Li3Cr2P3O12 (PBE with a Hubbard U)

Data for crystalline Li3Cr2P3O12 at its relaxed geometry.

Energy, eV per formula unit: -141.47
Energy above the lowest structure with this stoichiometry, kJ/mol of formula units: 6
Total magnetization, μB/f.u.: 5.995
Space-group type: P2_1/c, No. 14

Cell lengths 8.6700, 8.6086, 14.8101 Å; angles 54.89, 90.00, 90.00 degrees
Each line ends with the local moment (μB).
Fractional positions:
O (0.0853, 0.8986, 0.6723)  -0.01
O (0.5171, 0.1011, 0.2601)  -0.01
O (0.6303, 0.5233, 0.5742)  -0.01
O (0.8285, 0.7417, 0.4332)  -0.01
O (0.1205, 0.2149, 0.8598)  -0.01
O (0.3285, 0.2583, 0.0668)  -0.01
O (0.9147, 0.1014, 0.3277)  -0.01
O (0.5489, 0.1412, 0.5427)  0.01
O (0.4120, 0.8301, 0.0267)  0.00
P (0.1158, 0.7491, 0.6472)  0.00
O (0.2663, 0.0235, 0.8137)  -0.01
P (0.2501, 0.4562, 0.0078)  0.01
Li (0.2216, 0.0223, 0.1780)  0.00
O (0.2337, 0.0235, 0.3137)  -0.01
Li (0.8119, 0.6979, 0.7363)  0.00
O (0.6837, 0.5301, 0.3994)  -0.01
P (0.3959, 0.0411, 0.3533)  0.00
Li (0.7784, 0.9776, 0.8220)  0.00
O (0.1837, 0.4699, 0.1006)  -0.01
O (0.1302, 0.6146, 0.4354)  -0.01
O (0.9829, 0.1011, 0.7601)  -0.01
Li (0.9153, 0.3832, 0.6945)  0.00
O (0.8163, 0.5301, 0.8994)  -0.01
Li (0.6881, 0.6979, 0.2363)  0.00
O (0.7870, 0.3127, 0.8206)  -0.01
O (0.3163, 0.4699, 0.6006)  -0.01
Li (0.1881, 0.3021, 0.2637)  0.00
Cr (0.0302, 0.6364, 0.1105)  2.94
O (0.7663, 0.9765, 0.6863)  -0.01
P (0.3842, 0.7491, 0.1472)  0.00
O (0.8698, 0.3854, 0.5646)  -0.01
O (0.4147, 0.8986, 0.1723)  -0.01
Cr (0.0380, 0.8614, 0.3893)  2.93
O (0.1303, 0.4767, 0.9258)  -0.01
O (0.7130, 0.3127, 0.3206)  -0.01
Li (0.7216, 0.9776, 0.3220)  0.00
Li (0.5847, 0.3832, 0.1945)  0.00
Cr (0.9698, 0.3636, 0.8895)  2.94
P (0.7501, 0.5438, 0.4922)  0.01
O (0.8697, 0.5233, 0.0742)  -0.01
O (0.2130, 0.6873, 0.1794)  -0.01
Li (0.3119, 0.3021, 0.7637)  0.00
O (0.5001, 0.5797, 0.2202)  -0.01
O (0.3795, 0.2149, 0.3598)  -0.01
O (0.4511, 0.8588, 0.4573)  0.01
Cr (0.5380, 0.1386, 0.1107)  2.93
O (0.9999, 0.5797, 0.7202)  -0.01
O (0.4999, 0.4203, 0.7798)  -0.01
O (0.9120, 0.1699, 0.4733)  0.00
O (0.6715, 0.7417, 0.9332)  -0.01
O (0.5880, 0.1699, 0.9733)  0.00
O (0.4829, 0.8989, 0.7399)  -0.01
O (0.8795, 0.7851, 0.1402)  -0.01
Cr (0.5302, 0.3636, 0.3895)  2.94
P (0.7499, 0.5438, 0.9922)  0.01
P (0.6041, 0.9589, 0.6467)  0.00
O (0.2870, 0.6873, 0.6794)  -0.01
P (0.8959, 0.9589, 0.1467)  0.00
P (0.6158, 0.2509, 0.8528)  0.00
O (0.0880, 0.8301, 0.5267)  0.00
O (0.0171, 0.8989, 0.2399)  -0.01
O (0.1715, 0.2583, 0.5668)  -0.01
P (0.2499, 0.4562, 0.5078)  0.01
Cr (0.4620, 0.8614, 0.8893)  2.93
O (0.3698, 0.6146, 0.9354)  -0.01
O (0.5853, 0.1014, 0.8277)  -0.01
Li (0.2784, 0.0223, 0.6780)  0.00
Li (0.0847, 0.6168, 0.3055)  0.00
Cr (0.4698, 0.6364, 0.6105)  2.94
O (0.0489, 0.8588, 0.9573)  0.01
O (0.3697, 0.4767, 0.4258)  -0.01
O (0.6205, 0.7851, 0.6402)  -0.01
Cr (0.9620, 0.1386, 0.6107)  2.93
O (0.9511, 0.1412, 0.0427)  0.01
P (0.1041, 0.0411, 0.8533)  0.00
P (0.8842, 0.2509, 0.3528)  0.00
Li (0.4153, 0.6168, 0.8055)  0.00
O (0.0001, 0.4203, 0.2798)  -0.01
O (0.6302, 0.3854, 0.0646)  -0.01
O (0.7337, 0.9765, 0.1863)  -0.01